Record 1
VASP calculation (PBE) on a relaxed structure of Sc3AsS2.

Structure (POSCAR):
```
Sc3AsS2
1.0
3.462 0.000 -1.445
-1.030 4.596 -2.469
0.661 0.539 6.455
As S Sc
1 2 3
Direct
0.500 0.000 0.000
0.166 0.666 0.332
0.834 0.334 0.668
0.169 0.169 0.339
0.500 0.500 0.000
0.831 0.831 0.661
```

Values from the calculation:
Symmetry = Immm

=====

Record 2
VASP calculation (PBE) on a relaxed structure of Sc5As2S2.

Structure (POSCAR):
```
Sc5As2S2
1.0
-4.128 -5.666 -1.221
0.409 1.201 -6.954
5.177 -4.446 3.129
Sc As S
10 4 4
Direct
0.847 0.521 0.720
0.500 0.500 0.000
0.847 0.801 0.280
0.153 0.199 0.720
0.653 0.021 0.720
0.653 0.301 0.280
0.000 0.000 0.000
0.347 0.699 0.720
0.153 0.479 0.280
0.347 0.979 0.280
0.355 0.145 0.000
0.145 0.645 0.000
0.855 0.355 0.000
0.645 0.855 0.000
0.500 0.697 0.394
0.000 0.197 0.394
0.000 0.803 0.606
0.500 0.303 0.606
```

Values from the calculation:
Symmetry = Cmce

=====

Record 3
VASP calculation (PBE) on a relaxed structure of Sc2AsS.

Structure (POSCAR):
```
Sc2AsS
1.0
0.000 3.328 3.328
3.328 0.000 3.328
3.328 3.328 0.000
S Sc As
1 2 1
Direct
0.000 0.000 0.000
0.250 0.250 0.250
0.750 0.750 0.750
0.500 0.500 0.500
```

Values from the calculation:
Symmetry = Fm-3m

=====

Record 4
VASP calculation (PBE) on a relaxed structure of Sc2As2S.

Structure (POSCAR):
```
Sc2As2S
1.0
-2.771 -6.449 0.092
2.319 -1.090 -6.536
3.409 -1.444 1.450
As Sc S
4 4 2
Direct
0.623 0.877 0.500
0.377 0.123 0.500
0.123 0.623 0.500
0.877 0.377 0.500
0.321 0.821 0.000
0.179 0.321 0.000
0.679 0.179 0.000
0.821 0.679 0.000
0.000 0.000 0.000
0.500 0.500 0.000
```

Values from the calculation:
Symmetry = P4/mbm

=====

Result set for E_tot: -7.0411 -6.8251 -6.5249 -6.3288 eV per atom, one per record in the order listed.
Result set for formation energy (no corrections): -1725 -1357 -1165 -1111 meV/atom, one per record in the order listed.